(1)
TbScAl | PBE-GGA | relaxed

Computed properties:
electronic total energy = -4.47 eV per atom

Cell and atoms, written as POSCAR:
```
TbScAl
1.0
0.000 3.456 3.456
3.456 0.000 3.456
3.456 3.456 0.000
Tb Sc Al
1 1 1
direct
0.000 0.000 0.000
0.750 0.750 0.750
0.500 0.500 0.500
```



(2)
ScAl3Tc2 | PBE-GGA | relaxed

Computed properties:
electronic total energy = -6.80 eV per atom

Cell and atoms, written as POSCAR:
```
ScAl3Tc2
1.0
3.276 0.000 0.000
0.000 3.276 0.000
0.000 0.000 8.735
Sc Al Tc
1 3 2
direct
0.000 0.000 0.000
0.000 0.000 0.677
0.500 0.500 0.206
0.500 0.500 0.508
0.000 0.000 0.352
0.500 0.500 0.825
```



(3)
Sc2AlTc | PBE-GGA | relaxed

Computed properties:
electronic total energy = -7.07 eV per atom

Cell and atoms, written as POSCAR:
```
Sc2AlTc
1.0
3.358 0.000 0.000
0.000 3.358 0.000
0.000 0.000 6.502
Sc Al Tc
2 1 1
direct
0.000 0.000 0.228
0.000 0.000 0.772
0.500 0.500 0.500
0.500 0.500 0.000
```



(4)
ScAlTc | PBE-GGA | relaxed

Computed properties:
electronic total energy = -7.20 eV per atom

Cell and atoms, written as POSCAR:
```
ScAlTc
1.0
-1.656 1.656 4.615
1.656 -1.656 4.615
1.656 1.656 -4.615
Sc Al Tc
1 1 1
direct
0.000 0.000 0.000
0.302 0.302 0.000
0.670 0.670 0.000
```